# TlAg2Cl | Alexandria via LeMat-Bulk | PBE | relaxed
# Space group = No. 99
# Energy above the most stable polymorph in this dataset = 0.025 eV per atom
data_TlAg2Cl
_chemical_formula_sum 'Tl1 Ag2 Cl1'
_symmetry_space_group_name_H-M 'P 1'
_symmetry_Int_Tables_number 1
_cell_length_a 3.385
_cell_length_b 3.385
_cell_length_c 7.942
_cell_angle_alpha 90.00
_cell_angle_beta 90.00
_cell_angle_gamma 90.03
loop_
_symmetry_equiv_pos_as_xyz
'x,y,z'
loop_
_atom_site_label
_atom_site_type_symbol
_atom_site_fract_x
_atom_site_fract_y
_atom_site_fract_z
Ag1 Ag 0.500 0.500 0.247
Cl1 Cl 0.000 0.000 0.457
Tl1 Tl 0.500 0.500 0.755
Ag2 Ag 0.000 0.000 0.041

# TlAgCl3 | Alexandria via LeMat-Bulk | PBE | relaxed
# Space group = No. 227
data_TlAgCl3
_chemical_formula_sum 'Tl4 Ag4 Cl12'
_symmetry_space_group_name_H-M 'P 1'
_symmetry_Int_Tables_number 1
_cell_length_a 9.498
_cell_length_b 9.498
_cell_length_c 9.498
_cell_angle_alpha 60.00
_cell_angle_beta 60.00
_cell_angle_gamma 60.00
loop_
_symmetry_equiv_pos_as_xyz
'x,y,z'
loop_
_atom_site_label
_atom_site_type_symbol
_atom_site_fract_x
_atom_site_fract_y
_atom_site_fract_z
Cl1 Cl 0.797 0.203 0.797
Cl2 Cl 0.453 0.047 0.453
Tl1 Tl 0.625 0.625 0.625
Cl3 Cl 0.203 0.797 0.797
Ag1 Ag 0.125 0.125 0.125
Tl2 Tl 0.625 0.125 0.625
Tl3 Tl 0.125 0.625 0.625
Cl4 Cl 0.047 0.453 0.453
Cl5 Cl 0.797 0.797 0.203
Ag2 Ag 0.625 0.125 0.125
Ag3 Ag 0.125 0.625 0.125
Cl6 Cl 0.453 0.453 0.047
Cl7 Cl 0.047 0.047 0.453
Cl8 Cl 0.453 0.047 0.047
Cl9 Cl 0.797 0.203 0.203
Cl10 Cl 0.047 0.453 0.047
Ag4 Ag 0.125 0.125 0.625
Cl11 Cl 0.203 0.203 0.797
Tl4 Tl 0.625 0.625 0.125
Cl12 Cl 0.203 0.797 0.203

# TlAgCl3 | Alexandria via LeMat-Bulk | PBE | relaxed
# Space group = No. 11
data_TlAgCl3
_chemical_formula_sum 'Tl2 Ag2 Cl6'
_symmetry_space_group_name_H-M 'P 1'
_symmetry_Int_Tables_number 1
_cell_length_a 4.401
_cell_length_b 7.690
_cell_length_c 8.780
_cell_angle_alpha 90.00
_cell_angle_beta 75.63
_cell_angle_gamma 90.00
loop_
_symmetry_equiv_pos_as_xyz
'x,y,z'
loop_
_atom_site_label
_atom_site_type_symbol
_atom_site_fract_x
_atom_site_fract_y
_atom_site_fract_z
Cl1 Cl 0.481 0.250 0.029
Ag1 Ag 0.051 0.250 0.886
Cl2 Cl 0.519 0.750 0.971
Cl3 Cl 0.164 0.489 0.672
Ag2 Ag 0.949 0.750 0.114
Tl1 Tl 0.684 0.750 0.634
Tl2 Tl 0.316 0.250 0.366
Cl4 Cl 0.164 0.011 0.672
Cl5 Cl 0.836 0.989 0.328
Cl6 Cl 0.836 0.511 0.328

# TlAg2Cl | Alexandria via LeMat-Bulk | PBE | relaxed
# Space group = No. 8
# Energy above the most stable polymorph in this dataset = 0.051 eV per atom
data_TlAg2Cl
_chemical_formula_sum 'Tl1 Ag2 Cl1'
_symmetry_space_group_name_H-M 'P 1'
_symmetry_Int_Tables_number 1
_cell_length_a 6.680
_cell_length_b 6.680
_cell_length_c 4.946
_cell_angle_alpha 80.18
_cell_angle_beta 80.18
_cell_angle_gamma 30.23
loop_
_symmetry_equiv_pos_as_xyz
'x,y,z'
loop_
_atom_site_label
_atom_site_type_symbol
_atom_site_fract_x
_atom_site_fract_y
_atom_site_fract_z
Ag1 Ag 0.916 0.916 0.186
Ag2 Ag 0.243 0.243 0.300
Tl1 Tl 0.773 0.773 0.774
Cl1 Cl 0.567 0.567 0.240

# TlAgCl2 | Alexandria via LeMat-Bulk | PBE | relaxed
# Space group = No. 71
data_TlAgCl2
_chemical_formula_sum 'Tl1 Ag1 Cl2'
_symmetry_space_group_name_H-M 'P 1'
_symmetry_Int_Tables_number 1
_cell_length_a 5.626
_cell_length_b 5.626
_cell_length_c 5.626
_cell_angle_alpha 137.09
_cell_angle_beta 110.46
_cell_angle_gamma 85.29
loop_
_symmetry_equiv_pos_as_xyz
'x,y,z'
loop_
_atom_site_label
_atom_site_type_symbol
_atom_site_fract_x
_atom_site_fract_y
_atom_site_fract_z
Tl1 Tl 0.750 0.250 0.500
Ag1 Ag 0.250 0.750 0.500
Cl1 Cl 0.455 0.455 0.000
Cl2 Cl 0.045 0.045 0.000

# Tl2Ag5Cl12 | Alexandria via LeMat-Bulk | PBE | relaxed
# Space group = No. 2
# Energy above the most stable polymorph in this dataset = 0.013 eV per atom
data_Tl2Ag5Cl12
_chemical_formula_sum 'Tl2 Ag5 Cl12'
_symmetry_space_group_name_H-M 'P 1'
_symmetry_Int_Tables_number 1
_cell_length_a 7.839
_cell_length_b 9.183
_cell_length_c 8.313
_cell_angle_alpha 102.19
_cell_angle_beta 103.76
_cell_angle_gamma 100.92
loop_
_symmetry_equiv_pos_as_xyz
'x,y,z'
loop_
_atom_site_label
_atom_site_type_symbol
_atom_site_fract_x
_atom_site_fract_y
_atom_site_fract_z
Cl1 Cl 0.336 0.032 0.317
Cl2 Cl 0.979 0.551 0.309
Ag1 Ag 0.249 0.502 0.507
Cl3 Cl 0.941 0.779 0.961
Cl4 Cl 0.445 0.785 0.966
Cl5 Cl 0.021 0.449 0.691
Tl1 Tl 0.246 0.997 0.993
Cl6 Cl 0.555 0.215 0.034
Cl7 Cl 0.844 0.036 0.325
Cl8 Cl 0.476 0.567 0.327
Tl2 Tl 0.754 0.003 0.007
Ag2 Ag 0.751 0.498 0.493
Cl9 Cl 0.059 0.221 0.039
Cl10 Cl 0.664 0.968 0.683
Ag3 Ag 0.000 0.500 0.000
Cl11 Cl 0.524 0.433 0.673
Ag4 Ag 0.559 0.845 0.332
Cl12 Cl 0.156 0.964 0.675
Ag5 Ag 0.441 0.155 0.668

Taking the records one at a time from the top gives E_form (uncorrected) values of -0.125; -0.563; -0.576; -0.100; -0.651; -0.501 eV per atom.
Taking the records one at a time from the top gives M_tot values of 0.00; 0.00; 0.00; 0.00; 0.00; 0.00 μB per formula unit.